# LiMo2W, PBEsol geometry, DFT meta-GGA SCAN
data_LiMo2W
_chemical_formula_sum 'Li1 Mo2 W1'
_cell_length_a 3.1779
_cell_length_b 3.1779
_cell_length_c 5.6731
_cell_angle_alpha 90.00
_cell_angle_beta 90.00
_cell_angle_gamma 90.00
_symmetry_space_group_name_H-M 'P 4 m m'
_symmetry_Int_Tables_number 99
loop_
_symmetry_equiv_pos_as_xyz
'x,y,z'
'-y,x,z'
'-x,-y,z'
'y,-x,z'
'-x,y,z'
'y,x,z'
'x,-y,z'
'-y,-x,z'
loop_
_atom_site_label
_atom_site_type_symbol
_atom_site_fract_x
_atom_site_fract_y
_atom_site_fract_z
Li1 Li 0.0000 0.0000 0.0000
Mo1 Mo 0.0000 0.0000 0.4987
Mo2 Mo 0.5000 0.5000 0.2320
W1 W 0.5000 0.5000 0.7648
# DFT formation energy = 480 meV per atom
# distance to the lowest polymorph of the same formula = 24.1 meV per atom
# M_tot = 0.000 μB/cell